{
  "formula": "HfTlMo3",
  "functional": "GGA-PBE",
  "state": "relaxed",
  "formation_energy_ev_per_atom": 1.873,
  "spacegroup": "No. 221",
  "magmom_total_mub_per_cell": 0.0,
  "e_above_lowest_polymorph_mev_per_atom": 0.0,
  "lattice_angstrom": [[4.831, 0.000, 0.000], [0.000, 4.831, 0.000], [0.000, 0.000, 4.831]],
  "species": ["Hf", "Tl", "Mo", "Mo", "Mo"],
  "fractional_positions": [[0.000, 0.000, 0.000], [0.500, 0.500, 0.500], [0.000, 0.000, 0.500], [0.000, 0.500, 0.000], [0.500, 0.000, 0.000]]
}